{
  "formula": "Na3Sn2Hg3",
  "functional": "GGA-PBE",
  "state": "optimized geometry",
  "sg": "No. 63",
  "e_tot_ev_per_atom": -1.77,
  "magnetic_moment_mub_per_fu": 0.00,
  "rho_g_cm3": 6.765,
  "lattice_angstrom": [[4.832, 0.000, 0.000], [-2.416, 5.978, 0.000], [0.000, 0.000, 15.434]],
  "species": ["Hg", "Hg", "Hg", "Sn", "Na", "Hg", "Sn", "Na", "Na", "Na", "Sn", "Hg", "Na", "Na", "Sn", "Hg"],
  "frac_coords": [[0.391, 0.782, 0.250], [0.609, 0.218, 0.750], [0.391, 0.781, 0.957], [0.219, 0.438, 0.396], [0.652, 0.304, 0.250], [0.609, 0.219, 0.457], [0.219, 0.438, 0.104], [0.069, 0.139, 0.606], [0.931, 0.861, 0.394], [0.348, 0.696, 0.750], [0.781, 0.562, 0.604], [0.391, 0.781, 0.543], [0.069, 0.139, 0.894], [0.931, 0.861, 0.106], [0.781, 0.562, 0.896], [0.609, 0.219, 0.043]]
}